No. 1
VASP calculation (PBE) on a relaxed structure of NaGaTeS4.

Cell lengths 7.695, 11.261, 8.676 Å; angles 90.00, 90.00, 90.00 degrees
Space group Cmcm (No. 63)
One atom of each set of equivalent atoms:
1 Na 0.000 0.000 0.000 x4
2 Ga 0.000 0.368 0.250 x4
3 Te 0.000 0.333 0.750 x4
4 S 0.000 0.256 0.037 x8
5 S 0.222 0.487 0.750 x8

Summary:
**Volume**: 26.85 Å³/atom
**ΔE_f (raw)**: -0.38 eV per atom

No. 2
VASP calculation (PBE) on a relaxed structure of Na2TiGaS4.

Cell lengths 6.249, 6.249, 10.181 Å; angles 90.00, 90.00, 90.00 degrees
Space group I-4 (No. 82)
One atom of each set of equivalent atoms:
1 Na 0.000 0.000 0.000 x2
2 Na 0.000 0.500 0.250 x2
3 Ti 0.000 0.000 0.500 x2
4 Ga 0.000 0.500 0.750 x2
5 S 0.187 0.748 0.625 x8

Summary:
**Volume**: 24.85 Å³/atom
**ΔE_f (raw)**: -1.05 eV per atom

No. 3
VASP calculation (PBE) on a relaxed structure of Na2Ti2GaS6.

Cell lengths 6.158, 10.812, 7.057 Å; angles 90.00, 107.04, 90.00 degrees
Space group C2/m (No. 12)
One atom of each set of equivalent atoms:
1 Na 0.000 0.163 0.000 x4
2 Ti 0.000 0.330 0.500 x4
3 Ga 0.000 0.000 0.500 x2
4 S 0.232 0.500 0.698 x4
5 S 0.238 0.169 0.705 x8

Summary:
**Volume**: 20.42 Å³/atom
**ΔE_f (raw)**: -1.15 eV per atom

No. 4
VASP calculation (PBE) on a relaxed structure of NaTl2GaS4.

Cell lengths 9.311, 9.337, 10.548 Å; angles 90.00, 90.00, 90.00 degrees
Space group Fmm2 (No. 42)
One atom of each set of equivalent atoms:
1 Na 0.000 0.000 0.000 x4
2 Tl 0.250 0.250 0.250 x8
3 Ga 0.000 0.000 0.500 x4
4 S 0.000 0.213 0.389 x8
5 S 0.213 0.000 0.612 x8

Summary:
**Volume**: 28.66 Å³/atom
**ΔE_f (raw)**: -0.51 eV per atom

No. 5
VASP calculation (PBE) on a relaxed structure of Na2TlGaS.

Cell lengths 5.733, 5.733, 5.417 Å; angles 90.00, 90.00, 90.00 degrees
Space group P4/mmm (No. 123)
One atom of each set of equivalent atoms:
1 Na 0.000 0.500 0.000 x2
2 Tl 0.000 0.000 0.000 x1
3 Ga 0.500 0.500 0.500 x1
4 S 0.000 0.000 0.500 x1

Summary:
**Volume**: 35.61 Å³/atom
**ΔE_f (raw)**: 0.31 eV per atom

No. 6
VASP calculation (PBE) on a relaxed structure of Na3U3GaS8.

Cell lengths 13.773, 7.953, 8.079 Å; angles 90.00, 124.68, 90.00 degrees
Space group C2/m (No. 12)
One atom of each set of equivalent atoms:
1 Na 0.000 0.000 0.000 x2
2 Na 0.250 0.250 0.000 x4
3 U 0.000 0.500 0.500 x2
4 U 0.250 0.250 0.500 x4
5 Ga 0.000 0.000 0.500 x2
6 S 0.011 0.247 0.288 x8
7 S 0.235 0.000 0.712 x4
8 S 0.244 0.500 0.732 x4

Summary:
**Volume**: 24.26 Å³/atom
**ΔE_f (raw)**: -1.21 eV per atom

No. 7
VASP calculation (PBE) on a relaxed structure of Na2UGaS5.

Cell lengths 3.937, 17.146, 13.287 Å; angles 90.00, 90.00, 90.00 degrees
Space group Cmc2_1 (No. 36)
One atom of each set of equivalent atoms:
1 Na 0.000 0.085 0.000 x4
2 Na 0.000 0.101 0.687 x4
3 U 0.000 0.224 0.374 x4
4 Ga 0.000 0.424 0.758 x4
5 S 0.000 0.065 0.363 x4
6 S 0.000 0.279 0.001 x4
7 S 0.000 0.287 0.735 x4
8 S 0.000 0.367 0.350 x4
9 S 0.000 0.492 0.620 x4

Summary:
**Volume**: 24.92 Å³/atom
**ΔE_f (raw)**: -1.08 eV per atom

No. 8
VASP calculation (PBE) on a relaxed structure of NaUGa2S6.

Cell lengths 12.794, 10.827, 6.784 Å; angles 90.00, 104.55, 90.00 degrees
Space group C2/c (No. 15)
One atom of each set of equivalent atoms:
1 Na 0.000 0.057 0.250 x4
2 U 0.000 0.312 0.750 x4
3 Ga 0.206 0.397 0.235 x8
4 S 0.117 0.135 0.625 x8
5 S 0.120 0.461 0.486 x8
6 S 0.122 0.226 0.085 x8

Summary:
**Volume**: 22.74 Å³/atom
**ΔE_f (raw)**: -0.86 eV per atom